Density functional theory data (PBE) for DyInSb2 after structural relaxation.

E_form (uncorrected): -438 meV per atom

Cell lengths 5.042, 5.042, 4.166 Å; angles 90.00, 90.00, 90.00 degrees
Space group P4/mmm (No. 123)
Inequivalent atoms, fractional coordinates:
Dy: 0.000 0.000 0.000 [1 per cell]
In: 0.500 0.500 0.000 [1 per cell]
Sb: 0.000 0.500 0.500 [2 per cell]

---

Density functional theory data (PBE) for Dy4ErMg5 after structural relaxation.

ΔE_f: -7.4 kJ/mol of atoms

Cell lengths 3.787, 3.787, 18.876 Å; angles 90.00, 90.00, 90.00 degrees
Space group P4/mmm (No. 123)
Inequivalent atoms, fractional coordinates:
Dy: 0.000 0.000 0.100 [2 per cell]
Dy: 0.000 0.000 0.301 [2 per cell]
Er: 0.000 0.000 0.500 [1 per cell]
Mg: 0.500 0.500 0.000 [1 per cell]
Mg: 0.500 0.500 0.201 [2 per cell]
Mg: 0.500 0.500 0.401 [2 per cell]

---

Density functional theory data (PBE) for V2ZnC after structural relaxation.

ΔE_f: -33.6 kJ/mol of atoms

Cell lengths 2.9103, 2.9103, 19.8088 Å; angles 90.00, 90.00, 120.00 degrees
Space group R3m (No. 160, hexagonal axes)
Inequivalent atoms, fractional coordinates:
V: 0.0000 0.0000 0.0000 [3 per cell]
V: 0.0000 0.0000 0.2220 [3 per cell]
Zn: 0.0000 0.0000 0.7783 [3 per cell]
C: 0.0000 0.0000 0.6108 [3 per cell]